--- w ---
Computed, not measured: a relaxed structure of Y2Al2Au at the PBE-GGA level of DFT.

abc: 6.898 6.898 4.686
angles: 90.00 90.00 90.00
Fractional positions:
Y1 0.170 0.670 0.500
Y2 0.670 0.830 0.500
Y3 0.830 0.330 0.500
Y4 0.330 0.170 0.500
Au1 0.000 0.000 0.000
Au2 0.500 0.500 0.000
Al1 0.365 0.865 0.000
Al2 0.865 0.635 0.000
Al3 0.635 0.135 0.000
Al4 0.135 0.365 0.000

Spin magnetization ... 0.000 μB per atom
Space-group type ... P4/mbm, No. 127

--- x ---
Computed, not measured: a relaxed structure of Y2Al2Au at the PBE-GGA level of DFT.

abc: 4.482 5.837 9.723
angles: 87.42 76.68 67.42
Fractional positions:
Y1 0.679 0.316 0.327
Y2 0.922 0.262 0.893
Y3 0.321 0.684 0.673
Y4 0.078 0.738 0.107
Al1 0.088 0.269 0.556
Al2 0.635 0.844 0.886
Al3 0.912 0.731 0.444
Al4 0.365 0.156 0.114
Au1 0.616 0.109 0.658
Au2 0.384 0.891 0.342

Spin magnetization ... 0.000 μB per atom
Space-group type ... C2/m, No. 12

Which one sits at the top of the stability order? x does.